(1)
The following is a DFT calculation (PBE) of a geometry-optimized VSnN3 structure.

```
5
Lattice="3.895 0.000 0.000 0.000 3.895 0.000 0.000 0.000 3.895" Properties=species:S:1:pos:R:3 pbc="T T T"
V 0.000 0.000 0.000
Sn 1.947 1.947 1.947
N 0.000 0.000 1.947
N 0.000 1.947 0.000
N 1.947 0.000 0.000
```

## Properties
The magnetic moment comes out at 0.07 μB/f.u. The symmetry is Pm-3m. For the volume, the calculation gives 59.1 Å³ per cell.



(2)
The following is a DFT calculation (PBE) of a geometry-optimized V2SnN structure.

```
8
Lattice="-3.086 3.086 3.156 3.086 -3.086 3.156 3.086 3.086 -3.156" Properties=species:S:1:pos:R:3 pbc="T T T"
V 4.628 0.775 -0.789
V 0.775 1.543 0.789
V -1.543 2.311 2.367
V 2.311 1.543 3.945
Sn 3.086 0.000 1.578
Sn 0.000 0.000 3.156
N 0.000 0.000 0.000
N 0.000 3.086 1.578
```

## Properties
The magnetic moment comes out at 0.86 μB/f.u. The symmetry is I-42d. For the volume, the calculation gives 120.2 Å³ per cell.



(3)
The following is a DFT calculation (PBE) of a geometry-optimized V2SnN structure.

```
4
Lattice="0.000 3.038 3.038 3.038 0.000 3.038 3.038 3.038 0.000" Properties=species:S:1:pos:R:3 pbc="T T T"
V 1.519 1.519 1.519
V 4.557 4.557 4.557
Sn 0.000 0.000 0.000
N 3.038 3.038 3.038
```

## Properties
The magnetic moment comes out at 0.00 μB/f.u. The symmetry is Fm-3m. For the volume, the calculation gives 56.1 Å³ per cell.



What ΔE_f (raw) values result from the calculations? In sequence: 42; -22; 88 kJ/mol of atoms.